First-principles (meta-GGA SCAN) data for a crystal of Cr2CoP3 relaxed with PBEsol, as listed in Alexandria via LeMat-Bulk.

```
Cr2CoP3
1.0
3.059 0.000 0.000
0.000 5.200 -0.005
0.000 -0.020 17.461
P Co Cr
12 4 8
direct
0.500 0.191 0.522
0.500 0.190 0.858
0.000 0.314 0.688
0.000 0.314 0.023
0.000 0.819 0.479
0.000 0.817 0.814
0.500 0.688 0.307
0.500 0.681 0.642
0.500 0.187 0.191
0.000 0.313 0.352
0.500 0.679 0.977
0.000 0.812 0.147
0.000 0.494 0.564
0.000 0.498 0.232
0.000 0.999 0.266
0.000 0.494 0.900
0.500 0.504 0.102
0.500 0.508 0.767
0.500 0.507 0.431
0.500 0.005 0.397
0.500 0.002 0.067
0.500 0.004 0.732
0.000 0.991 0.939
0.000 0.991 0.604
```

## Properties
SG: Pm (6)
Total magnetic moment: 0.39 μB/atom
Energy of formation: -549 meV per atom
Fermi-level density of states: 9.15 states/eV/cell
VASP energy: -14.76 eV per atom